# Ta2AgSb2 | Alexandria via LeMat-Bulk | PBE | optimized geometry
# - volume (Å³/cell) = 210.33
# - energy (eV/atom) = -6.795
# - raw formation energy (eV/atom) = 0.17
# - calculated density (g cm⁻³) = 11.26
data_Ta2AgSb2
_chemical_formula_sum 'Ta4 Ag2 Sb4'
_symmetry_space_group_name_H-M 'P 4/m b m'
_symmetry_Int_Tables_number 127
_symmetry_space_group_name_Hall '-P 4 2ab'
_cell_length_a 7.624
_cell_length_b 7.624
_cell_length_c 3.618
_cell_angle_alpha 90.00
_cell_angle_beta 90.00
_cell_angle_gamma 90.00
loop_
_atom_site_label
_atom_site_type_symbol
_atom_site_fract_x
_atom_site_fract_y
_atom_site_fract_z
_atom_site_occupancy
Ta1 Ta 0.134 0.366 0.000 1
Ag1 Ag 0.000 0.000 0.000 1
Sb1 Sb 0.158 0.658 0.500 1

=====

# Na3Cd2Au4 | Alexandria via LeMat-Bulk | PBE | optimized geometry
# - volume (Å³/cell) = 436.49
# - energy of formation from the pure elements (eV/atom) = -0.2638
# - energy (eV/atom) = -2.363
# - calculated density (g cm⁻³) = 8.23
data_Na3Cd2Au4
_chemical_formula_sum 'Na6 Cd4 Au8'
_symmetry_space_group_name_H-M 'C 1 2/m 1'
_symmetry_Int_Tables_number 12
_symmetry_space_group_name_Hall '-C 2y'
_cell_length_a 10.340
_cell_length_b 4.815
_cell_length_c 8.832
_cell_angle_alpha 90.00
_cell_angle_beta 97.00
_cell_angle_gamma 90.00
loop_
_atom_site_label
_atom_site_type_symbol
_atom_site_fract_x
_atom_site_fract_y
_atom_site_fract_z
_atom_site_occupancy
Na1 Na 0.000 0.000 0.000 1
Na2 Na 0.115 0.500 0.387 1
Cd1 Cd 0.196 0.500 0.759 1
Au1 Au 0.091 0.000 0.625 1
Au2 Au 0.238 0.500 0.087 1

=====

# YWAu2 | Alexandria via LeMat-Bulk | PBE | optimized geometry
# - volume (Å³/cell) = 157.37
# - energy of formation from the pure elements (eV/atom) = 0.1455
# - energy (eV/atom) = -6.348
# - ΔE to the lowest computed polymorph (meV/atom) = 80
# - calculated density (g cm⁻³) = 14.07
data_YWAu2
_chemical_formula_sum 'Y2 W2 Au4'
_symmetry_space_group_name_H-M 'I 4/m m m'
_symmetry_Int_Tables_number 139
_symmetry_space_group_name_Hall '-I 4 2'
_cell_length_a 4.413
_cell_length_b 4.413
_cell_length_c 8.082
_cell_angle_alpha 90.00
_cell_angle_beta 90.00
_cell_angle_gamma 90.00
loop_
_atom_site_label
_atom_site_type_symbol
_atom_site_fract_x
_atom_site_fract_y
_atom_site_fract_z
_atom_site_occupancy
Y1 Y 0.000 0.000 0.000 1
W1 W 0.000 0.000 0.500 1
Au1 Au 0.000 0.500 0.250 1

=====

# Tm3TlFe | Alexandria via LeMat-Bulk | PBE | optimized geometry
# - volume (Å³/cell) = 249.65
# - energy of formation from the pure elements (eV/atom) = -0.1843
# - energy (eV/atom) = -5.033
# - ΔE to the lowest computed polymorph (meV/atom) = 0
# - calculated density (g cm⁻³) = 10.20
data_Tm3TlFe
_chemical_formula_sum 'Tm6 Tl2 Fe2'
_symmetry_space_group_name_H-M 'P 1 21/m 1'
_symmetry_Int_Tables_number 11
_symmetry_space_group_name_Hall '-P 2yb'
_cell_length_a 8.479
_cell_length_b 3.768
_cell_length_c 8.585
_cell_angle_alpha 90.00
_cell_angle_beta 114.48
_cell_angle_gamma 90.00
loop_
_atom_site_label
_atom_site_type_symbol
_atom_site_fract_x
_atom_site_fract_y
_atom_site_fract_z
_atom_site_occupancy
Tm1 Tm 0.036 0.250 0.223 1
Tm2 Tm 0.324 0.750 0.570 1
Tm3 Tm 0.328 0.250 0.897 1
Tl1 Tl 0.335 0.750 0.201 1
Fe1 Fe 0.057 0.250 0.570 1

=====

# La2CdRh | Alexandria via LeMat-Bulk | PBE | optimized geometry
# - volume (Å³/cell) = 479.11
# - energy of formation from the pure elements (eV/atom) = -0.5000
# - energy (eV/atom) = -5.030
# - calculated density (g cm⁻³) = 6.84
data_La2CdRh
_chemical_formula_sum 'La8 Cd4 Rh4'
_symmetry_space_group_name_H-M 'C 1 2/m 1'
_symmetry_Int_Tables_number 12
_symmetry_space_group_name_Hall '-C 2y'
_cell_length_a 13.738
_cell_length_b 5.556
_cell_length_c 6.560
_cell_angle_alpha 90.00
_cell_angle_beta 106.90
_cell_angle_gamma 90.00
loop_
_atom_site_label
_atom_site_type_symbol
_atom_site_fract_x
_atom_site_fract_y
_atom_site_fract_z
_atom_site_occupancy
La1 La 0.068 0.000 0.289 1
La2 La 0.158 0.500 0.817 1
Cd1 Cd 0.214 0.500 0.349 1
Rh1 Rh 0.131 0.000 0.867 1

=====

# ZrMnRu | Alexandria via LeMat-Bulk | PBE | optimized geometry
# - volume (Å³/cell) = 50.18
# - energy of formation from the pure elements (eV/atom) = -0.0321
# - energy (eV/atom) = -9.030
# - ΔE to the lowest computed polymorph (meV/atom) = 173
# - calculated density (g cm⁻³) = 8.18
data_ZrMnRu
_chemical_formula_sum 'Zr1 Mn1 Ru1'
_symmetry_space_group_name_H-M 'P 3 m 1'
_symmetry_Int_Tables_number 156
_symmetry_space_group_name_Hall 'P 3 -2"'
_cell_length_a 4.3778
_cell_length_b 4.3778
_cell_length_c 3.0233
_cell_angle_alpha 90.00
_cell_angle_beta 90.00
_cell_angle_gamma 120.00
loop_
_atom_site_label
_atom_site_type_symbol
_atom_site_fract_x
_atom_site_fract_y
_atom_site_fract_z
_atom_site_occupancy
Zr1 Zr 0.0000 0.0000 0.0000 1
Mn1 Mn 0.3333 0.6667 0.4059 1
Ru1 Ru 0.6667 0.3333 0.6674 1

=====

# AcHfS3 | Alexandria via LeMat-Bulk | PBE | optimized geometry
# - volume (Å³/cell) = 118.61
# - energy (eV/atom) = -6.963
# - raw formation energy (eV/atom) = -1.67
# - ΔE to the lowest computed polymorph (meV/atom) = 9
# - calculated density (g cm⁻³) = 7.02
data_AcHfS3
_chemical_formula_sum 'Ac1 Hf1 S3'
_symmetry_space_group_name_H-M 'P m -3 m'
_symmetry_Int_Tables_number 221
_symmetry_space_group_name_Hall '-P 4 2 3'
_cell_length_a 4.913
_cell_length_b 4.913
_cell_length_c 4.913
_cell_angle_alpha 90.00
_cell_angle_beta 90.00
_cell_angle_gamma 90.00
loop_
_atom_site_label
_atom_site_type_symbol
_atom_site_fract_x
_atom_site_fract_y
_atom_site_fract_z
_atom_site_occupancy
Ac1 Ac 0.000 0.000 0.000 1
Hf1 Hf 0.500 0.500 0.500 1
S1 S 0.000 0.500 0.500 1

=====

# Nd8BSe3I4 | Alexandria via LeMat-Bulk | PBE | optimized geometry
# - volume (Å³/cell) = 1442.27
# - energy (eV/atom) = -5.053
# - raw formation energy (eV/atom) = -1.21
# - calculated density (g cm⁻³) = 6.59
data_Nd8BSe3I4
_chemical_formula_sum 'Nd24 B3 Se9 I12'
_symmetry_space_group_name_H-M 'R -3 m'
_symmetry_Int_Tables_number 166
_symmetry_space_group_name_Hall '-R 3 2"'
_cell_length_a 8.5248
_cell_length_b 8.5248
_cell_length_c 22.9169
_cell_angle_alpha 90.00
_cell_angle_beta 90.00
_cell_angle_gamma 120.00
loop_
_atom_site_label
_atom_site_type_symbol
_atom_site_fract_x
_atom_site_fract_y
_atom_site_fract_z
_atom_site_occupancy
Nd1 Nd 0.0000 0.0000 0.2312 1
Nd2 Nd 0.0302 0.5151 0.2295 1
B1 B 0.0000 0.0000 0.5000 1
Se1 Se 0.0000 0.5000 0.5000 1
I1 I 0.0000 0.0000 0.0000 1
I2 I 0.0000 0.5000 0.0000 1

=====

no.,total moment (μB per formula unit)
1,0.000
2,0.000
3,1.266
4,0.905
5,0.000
6,3.556
7,0.000
8,0.000